Entry from Alexandria via LeMat-Bulk: a relaxed Al2In2Pb crystal (PBE).

Cell and atoms, written as extended XYZ:
```
10
Lattice="8.332 0.000 0.000 0.000 8.332 0.000 0.000 0.000 3.497" Properties=species:S:1:pos:R:3 pbc="T T T"
Al 0.974 3.192 0.000
Al 3.192 7.358 0.000
Al 5.140 0.974 0.000
Al 7.358 5.140 0.000
In 1.493 5.660 1.748
In 2.673 1.493 1.748
In 5.660 6.839 1.748
In 6.839 2.673 1.748
Pb 0.000 0.000 0.000
Pb 4.166 4.166 0.000
```

Properties
**Space group**: P4/mbm (127)
**Formation energy from the elements**: 160 meV/atom



Entry from Alexandria via LeMat-Bulk: a relaxed ReRhBr2 crystal (PBE).

Cell and atoms, written as extended XYZ:
```
4
Lattice="3.444 -1.614 0.000 3.444 1.614 0.000 -1.542 0.000 8.402" Properties=species:S:1:pos:R:3 pbc="T T T"
Re 0.000 0.000 0.000
Rh 1.968 0.000 1.342
Br 1.964 0.000 6.484
Br 3.980 0.000 3.088
```

Properties
**Space group**: Cm (8)
**Formation energy without anion corrections**: 0.290 eV per atom



Entry from Alexandria via LeMat-Bulk: a relaxed Ta2OsPt crystal (PBE).

Cell and atoms, written as extended XYZ:
```
8
Lattice="-3.018 3.018 5.355 3.018 -3.018 5.355 3.018 3.018 -5.355" Properties=species:S:1:pos:R:3 pbc="T T T"
Ta 4.527 1.477 -1.339
Ta 1.477 1.509 1.339
Ta -1.509 1.541 4.017
Ta 1.541 1.509 6.694
Os 0.000 0.000 0.000
Os 0.000 3.018 2.678
Pt 3.018 0.000 2.678
Pt 0.000 0.000 5.355
```

Properties
**Space group**: I-42d (122)
**Formation energy from the elements**: 751 meV/atom



Entry from Alexandria via LeMat-Bulk: a relaxed YTmSb2 crystal (PBE).

Cell and atoms, written as extended XYZ:
```
4
Lattice="2.167 1.251 7.385 -2.167 1.251 7.385 0.000 -2.503 7.385" Properties=species:S:1:pos:R:3 pbc="T T T"
Y 0.000 0.000 0.000
Tm 0.000 0.000 3.777
Sb 0.000 0.000 9.271
Sb 0.000 0.000 12.976
```

Properties
**Space group**: R3m (160)
**Formation energy without anion corrections**: -1.001 eV per atom



Entry from Alexandria via LeMat-Bulk: a relaxed TiNiPdRh crystal (PBE).

Cell and atoms, written as extended XYZ:
```
4
Lattice="0.000 3.042 3.042 3.042 0.000 3.042 3.042 3.042 0.000" Properties=species:S:1:pos:R:3 pbc="T T T"
Ti 0.000 0.000 0.000
Ni 3.042 3.042 3.042
Pd 4.563 4.563 4.563
Rh 1.521 1.521 1.521
```

Properties
**Space group**: F-43m (216)
**Formation energy from the elements**: -417 meV/atom



Entry from Alexandria via LeMat-Bulk: a relaxed KReSe2 crystal (PBE).

Cell and atoms, written as extended XYZ:
```
4
Lattice="0.000 3.603 3.603 3.603 0.000 3.603 3.603 3.603 0.000" Properties=species:S:1:pos:R:3 pbc="T T T"
K 0.000 0.000 0.000
Re 5.404 5.404 5.404
Se 1.801 1.801 1.801
Se 3.603 3.603 3.603
```

Properties
**Space group**: F-43m (216)
**Formation energy without anion corrections**: 1.215 eV per atom